HfS2F | PBE | optimized geometry

a b c (Å): 5.8832 5.8832 6.9600
angles (deg): 65.00 65.00 90.00
Fractional coordinates of all 8 atoms:
S: 0.6570 0.1250 0.2500
S: 0.0930 0.6250 0.2500
S: 0.8750 0.9070 0.7500
S: 0.3750 0.3430 0.7500
Hf: 0.7500 0.2500 0.5000
Hf: 0.0000 0.0000 0.0000
F: 0.2500 0.7500 0.5000
F: 0.5000 0.5000 0.0000

Values from the calculation:
E_form (uncorrected) = -0.9179 eV/atom
space-group type = I-42d (122)
energy above the most stable polymorph in this dataset = 374.0 meV/atom